No. 1
Material: Na2Np2Pt15
Method: DFT, PBE-GGA
State: optimized geometry

The value obtained for the uncorrected energy is -0.241 Ha/atom. Its spin magnetization is 0.12 μB per atom. The calculation puts the volume at 18.113 A^3/atom.

a = 7.059 Å, b = 7.059 Å, c = 7.059 Å
α = 82.81°, β = 82.81°, γ = 82.81°
Positions (direct):
Na  0.141  0.141  0.141
Na  0.859  0.859  0.859
Np  0.415  0.415  0.415
Np  0.585  0.585  0.585
Pt  0.000  0.500  0.500
Pt  0.159  0.159  0.658
Pt  0.159  0.658  0.159
Pt  0.184  0.500  0.816
Pt  0.184  0.816  0.500
Pt  0.342  0.841  0.841
Pt  0.500  0.000  0.500
Pt  0.500  0.184  0.816
Pt  0.500  0.500  0.000
Pt  0.500  0.816  0.184
Pt  0.658  0.159  0.159
Pt  0.816  0.184  0.500
Pt  0.816  0.500  0.184
Pt  0.841  0.342  0.841
Pt  0.841  0.841  0.342

***

No. 2
Material: NaNpPt2
Method: DFT, PBE-GGA
State: optimized geometry

The value obtained for the uncorrected energy is -0.255 Ha/atom. Its spin magnetization is 1.08 μB per atom. The calculation puts the volume at 19.485 A^3/atom.

a = 5.240 Å, b = 5.240 Å, c = 2.838 Å
α = 90.00°, β = 90.00°, γ = 90.00°
Positions (direct):
Na  0.000  0.000  0.000
Np  0.500  0.500  0.000
Pt  0.000  0.500  0.500
Pt  0.500  0.000  0.500

***

No. 3
Material: NaNpPt2
Method: DFT, PBE-GGA
State: optimized geometry

The value obtained for the uncorrected energy is -0.251 Ha/atom. Its spin magnetization is 0.84 μB per atom. The calculation puts the volume at 23.948 A^3/atom.

a = 7.717 Å, b = 7.717 Å, c = 7.717 Å
α = 29.04°, β = 29.04°, γ = 29.04°
Positions (direct):
Na  0.000  0.000  0.000
Np  0.500  0.500  0.500
Pt  0.240  0.240  0.240
Pt  0.760  0.760  0.760

***

No. 4
Material: Na3NpPt2S6
Method: DFT, PBE-GGA
State: optimized geometry

As for the energy relative to the elements, uncorrected: -0.7992 eV/atom. The value obtained for the uncorrected energy is -0.194 Ha/atom. Its spin magnetization is 0.19 μB per atom. The calculation puts the volume at 19.960 A^3/atom.

a = 6.382 Å, b = 6.382 Å, c = 7.117 Å
α = 98.64°, β = 98.64°, γ = 119.96°
Positions (direct):
Na  0.000  0.000  0.000
Na  0.337  0.663  0.000
Na  0.663  0.337  0.000
Np  0.500  0.500  0.500
Pt  0.167  0.833  0.500
Pt  0.833  0.167  0.500
S  0.075  0.429  0.288
S  0.217  0.217  0.712
S  0.429  0.075  0.288
S  0.571  0.925  0.712
S  0.783  0.783  0.288
S  0.925  0.571  0.712

***

No. 5
Material: Na4Np3PtS8
Method: DFT, PBE-GGA
State: optimized geometry

As for the energy relative to the elements, uncorrected: -1.1372 eV/atom. The value obtained for the uncorrected energy is -0.233 Ha/atom. Its spin magnetization is 0.22 μB per atom. The calculation puts the volume at 22.908 A^3/atom.

a = 8.057 Å, b = 8.057 Å, c = 8.035 Å
α = 118.19°, β = 118.19°, γ = 56.35°
Positions (direct):
Na  0.000  0.000  0.000
Na  0.000  0.500  0.000
Na  0.500  0.000  0.000
Na  0.500  0.500  0.000
Np  0.000  0.000  0.500
Np  0.000  0.500  0.500
Np  0.500  0.000  0.500
Pt  0.500  0.500  0.500
S  0.220  0.220  0.240
S  0.234  0.234  0.728
S  0.262  0.706  0.702
S  0.294  0.738  0.298
S  0.706  0.262  0.702
S  0.738  0.294  0.298
S  0.766  0.766  0.272
S  0.780  0.780  0.760

***

No. 6
Material: Na2NpPtS4
Method: DFT, PBE-GGA
State: optimized geometry

As for the energy relative to the elements, uncorrected: -0.7831 eV/atom. The value obtained for the uncorrected energy is -0.204 Ha/atom. Its spin magnetization is 0.26 μB per atom. The calculation puts the volume at 19.758 A^3/atom.

a = 5.904 Å, b = 5.904 Å, c = 5.904 Å
α = 107.85°, β = 107.85°, γ = 112.76°
Positions (direct):
Na  0.000  0.500  0.500
Na  0.500  0.000  0.500
Np  0.000  0.000  0.000
Pt  0.500  0.500  0.000
S  0.081  0.081  0.615
S  0.465  0.465  0.385
S  0.535  0.919  0.000
S  0.919  0.535  0.000

***

No. 7
Material: Na2NpSb3Pt4
Method: DFT, PBE-GGA
State: optimized geometry

As for the energy relative to the elements, uncorrected: -0.4123 eV/atom. The value obtained for the uncorrected energy is -0.207 Ha/atom. Its spin magnetization is 0.40 μB per atom. The calculation puts the volume at 23.621 A^3/atom.

a = 4.589 Å, b = 4.589 Å, c = 11.216 Å
α = 90.00°, β = 90.00°, γ = 90.00°
Positions (direct):
Na  0.000  0.500  0.219
Na  0.500  0.000  0.781
Np  0.000  0.000  0.500
Sb  0.000  0.500  0.875
Sb  0.500  0.000  0.125
Sb  0.500  0.500  0.500
Pt  0.000  0.000  0.000
Pt  0.000  0.500  0.643
Pt  0.500  0.000  0.357
Pt  0.500  0.500  0.000

***

No. 8
Material: NaNpPtSe3
Method: DFT, PBE-GGA
State: optimized geometry

As for the energy relative to the elements, uncorrected: -0.7458 eV/atom. The value obtained for the uncorrected energy is -0.216 Ha/atom. Its spin magnetization is 0.00 μB per atom. The calculation puts the volume at 24.510 A^3/atom.

a = 8.280 Å, b = 3.996 Å, c = 9.250 Å
α = 90.00°, β = 106.07°, γ = 90.00°
Positions (direct):
Na  0.198  0.250  0.240
Na  0.802  0.750  0.760
Np  0.318  0.750  0.825
Np  0.682  0.250  0.175
Pt  0.117  0.250  0.555
Pt  0.883  0.750  0.445
Se  0.091  0.250  0.838
Se  0.282  0.750  0.524
Se  0.429  0.750  0.144
Se  0.571  0.250  0.856
Se  0.718  0.250  0.476
Se  0.909  0.750  0.162

***

No. 9
Material: Na3PuNp2S6
Method: DFT, PBE-GGA
State: optimized geometry

As for the energy relative to the elements, uncorrected: -1.3892 eV/atom. The value obtained for the uncorrected energy is -0.262 Ha/atom. Its spin magnetization is 0.19 μB per atom. The calculation puts the volume at 23.527 A^3/atom.

a = 7.007 Å, b = 7.007 Å, c = 7.039 Å
α = 99.56°, β = 99.56°, γ = 120.00°
Positions (direct):
Na  0.000  0.000  0.000
Na  0.334  0.666  0.000
Na  0.666  0.334  0.000
Pu  0.500  0.500  0.500
Np  0.167  0.833  0.500
Np  0.833  0.167  0.500
S  0.084  0.424  0.273
S  0.236  0.236  0.728
S  0.424  0.084  0.273
S  0.576  0.916  0.727
S  0.764  0.764  0.272
S  0.916  0.576  0.727

***

No. 10
Material: Na2PuNpS5
Method: DFT, PBE-GGA
State: optimized geometry

As for the energy relative to the elements, uncorrected: -0.9280 eV/atom. The value obtained for the uncorrected energy is -0.241 Ha/atom. Its spin magnetization is 0.04 μB per atom. The calculation puts the volume at 27.858 A^3/atom.

a = 4.897 Å, b = 4.897 Å, c = 10.455 Å
α = 90.00°, β = 90.00°, γ = 90.00°
Positions (direct):
Na  0.000  0.000  0.224
Na  0.000  0.000  0.776
Pu  0.500  0.500  0.000
Np  0.500  0.500  0.500
S  0.000  0.000  0.500
S  0.000  0.500  0.000
S  0.500  0.000  0.000
S  0.500  0.500  0.259
S  0.500  0.500  0.741

***

No. 11
Material: Na4Pu3NpS8
Method: DFT, PBE-GGA
State: optimized geometry

As for the energy relative to the elements, uncorrected: -1.4879 eV/atom. The value obtained for the uncorrected energy is -0.271 Ha/atom. Its spin magnetization is 0.72 μB per atom. The calculation puts the volume at 23.553 A^3/atom.

a = 8.107 Å, b = 8.107 Å, c = 8.108 Å
α = 120.00°, β = 120.00°, γ = 60.01°
Positions (direct):
Na  0.000  0.000  0.000
Na  0.000  0.500  0.000
Na  0.500  0.000  0.000
Na  0.500  0.500  0.000
Pu  0.000  0.000  0.500
Pu  0.000  0.500  0.500
Pu  0.500  0.000  0.500
Np  0.500  0.500  0.500
S  0.242  0.242  0.724
S  0.244  0.742  0.728
S  0.258  0.258  0.273
S  0.258  0.756  0.272
S  0.742  0.244  0.728
S  0.742  0.742  0.727
S  0.756  0.258  0.272
S  0.758  0.758  0.276

***

No. 12
Material: Na3Pu3NpS8
Method: DFT, PBE-GGA
State: optimized geometry

As for the energy relative to the elements, uncorrected: -1.4711 eV/atom. The value obtained for the uncorrected energy is -0.282 Ha/atom. Its spin magnetization is 0.78 μB per atom. The calculation puts the volume at 25.112 A^3/atom.

a = 8.112 Å, b = 8.112 Å, c = 8.112 Å
α = 59.91°, β = 59.91°, γ = 59.91°
Positions (direct):
Na  0.000  0.500  0.500
Na  0.500  0.000  0.500
Na  0.500  0.500  0.000
Pu  0.000  0.000  0.500
Pu  0.000  0.500  0.000
Pu  0.500  0.000  0.000
Np  0.500  0.500  0.500
S  0.241  0.241  0.241
S  0.247  0.737  0.737
S  0.263  0.263  0.753
S  0.263  0.753  0.263
S  0.737  0.247  0.737
S  0.737  0.737  0.247
S  0.753  0.263  0.263
S  0.759  0.759  0.759

***

No. 13
Material: Na2PuNpS4
Method: DFT, PBE-GGA
State: optimized geometry

As for the energy relative to the elements, uncorrected: -1.4697 eV/atom. The value obtained for the uncorrected energy is -0.267 Ha/atom. Its spin magnetization is 1.12 μB per atom. The calculation puts the volume at 23.288 A^3/atom.

a = 6.985 Å, b = 4.030 Å, c = 7.014 Å
α = 90.00°, β = 109.34°, γ = 90.00°
Positions (direct):
Na  0.000  0.000  0.000
Na  0.500  0.500  0.000
Pu  0.000  0.500  0.500
Np  0.500  0.000  0.500
S  0.245  0.000  0.726
S  0.261  0.500  0.274
S  0.739  0.500  0.726
S  0.755  0.000  0.274

***

No. 14
Material: Na2PuNp2S6
Method: DFT, PBE-GGA
State: optimized geometry

As for the energy relative to the elements, uncorrected: -1.3812 eV/atom. The value obtained for the uncorrected energy is -0.277 Ha/atom. Its spin magnetization is 0.16 μB per atom. The calculation puts the volume at 25.611 A^3/atom.

a = 7.003 Å, b = 7.003 Å, c = 7.049 Å
α = 99.41°, β = 99.41°, γ = 120.37°
Positions (direct):
Na  0.167  0.833  0.000
Na  0.833  0.167  0.000
Pu  0.000  0.000  0.500
Np  0.335  0.665  0.500
Np  0.665  0.335  0.500
S  0.067  0.414  0.718
S  0.265  0.265  0.279
S  0.414  0.067  0.718
S  0.586  0.933  0.282
S  0.735  0.735  0.721
S  0.933  0.586  0.282

***

No. 15
Material: Na2PuNp3Se6
Method: DFT, PBE-GGA
State: optimized geometry

As for the energy relative to the elements, uncorrected: -1.2406 eV/atom. The value obtained for the uncorrected energy is -0.280 Ha/atom. Its spin magnetization is 1.58 μB per atom. The calculation puts the volume at 25.581 A^3/atom.

a = 7.182 Å, b = 7.182 Å, c = 7.269 Å
α = 99.44°, β = 99.44°, γ = 119.93°
Positions (direct):
Na  0.166  0.834  0.000
Na  0.834  0.166  0.000
Pu  0.500  0.500  0.000
Np  0.000  0.000  0.500
Np  0.331  0.669  0.500
Np  0.669  0.331  0.500
Se  0.086  0.414  0.743
Se  0.259  0.259  0.259
Se  0.414  0.086  0.743
Se  0.586  0.914  0.257
Se  0.741  0.741  0.741
Se  0.914  0.586  0.257

***

No. 16
Material: NaPu3Np2Se6
Method: DFT, PBE-GGA
State: optimized geometry

As for the energy relative to the elements, uncorrected: -1.2954 eV/atom. The value obtained for the uncorrected energy is -0.327 Ha/atom. Its spin magnetization is 0.23 μB per atom. The calculation puts the volume at 25.152 A^3/atom.

a = 9.262 Å, b = 9.262 Å, c = 8.339 Å
α = 102.91°, β = 102.91°, γ = 25.68°
Positions (direct):
Na  0.000  0.000  0.000
Pu  0.000  0.000  0.500
Pu  0.334  0.334  0.164
Pu  0.666  0.666  0.836
Np  0.332  0.332  0.662
Np  0.668  0.668  0.338
Se  0.166  0.166  0.583
Se  0.167  0.167  0.087
Se  0.498  0.498  0.745
Se  0.502  0.502  0.255
Se  0.833  0.833  0.913
Se  0.834  0.834  0.417

***

No. 17
Material: Na3Pu3NpTe8
Method: DFT, PBE-GGA
State: optimized geometry

As for the energy relative to the elements, uncorrected: -0.9474 eV/atom. The value obtained for the uncorrected energy is -0.243 Ha/atom. Its spin magnetization is 1.20 μB per atom. The calculation puts the volume at 34.578 A^3/atom.

a = 9.095 Å, b = 9.095 Å, c = 9.095 Å
α = 58.90°, β = 58.90°, γ = 58.90°
Positions (direct):
Na  0.000  0.500  0.500
Na  0.500  0.000  0.500
Na  0.500  0.500  0.000
Pu  0.000  0.000  0.500
Pu  0.000  0.500  0.000
Pu  0.500  0.000  0.000
Np  0.500  0.500  0.500
Te  0.245  0.245  0.245
Te  0.246  0.742  0.742
Te  0.258  0.258  0.754
Te  0.258  0.754  0.258
Te  0.742  0.246  0.742
Te  0.742  0.742  0.246
Te  0.754  0.258  0.258
Te  0.755  0.755  0.755

***

No. 18
Material: NaPuNp2Te4
Method: DFT, PBE-GGA
State: optimized geometry

As for the energy relative to the elements, uncorrected: -0.7702 eV/atom. The value obtained for the uncorrected energy is -0.277 Ha/atom. Its spin magnetization is 0.76 μB per atom. The calculation puts the volume at 31.296 A^3/atom.

a = 7.724 Å, b = 4.424 Å, c = 7.773 Å
α = 90.00°, β = 109.49°, γ = 90.00°
Positions (direct):
Na  0.000  0.000  0.000
Pu  0.500  0.500  0.000
Np  0.000  0.500  0.500
Np  0.500  0.000  0.500
Te  0.249  0.000  0.749
Te  0.252  0.500  0.254
Te  0.748  0.500  0.746
Te  0.751  0.000  0.251

***

No. 19
Material: NaPu2Np3Te6
Method: DFT, PBE-GGA
State: optimized geometry

As for the energy relative to the elements, uncorrected: -0.7805 eV/atom. The value obtained for the uncorrected energy is -0.297 Ha/atom. Its spin magnetization is 0.15 μB per atom. The calculation puts the volume at 30.787 A^3/atom.

a = 9.964 Å, b = 9.964 Å, c = 8.959 Å
α = 104.17°, β = 104.17°, γ = 25.41°
Positions (direct):
Na  0.000  0.000  0.000
Pu  0.332  0.332  0.665
Pu  0.668  0.668  0.335
Np  0.000  0.000  0.500
Np  0.334  0.334  0.168
Np  0.666  0.666  0.832
Te  0.166  0.166  0.583
Te  0.167  0.167  0.082
Te  0.499  0.499  0.253
Te  0.501  0.501  0.747
Te  0.833  0.833  0.918
Te  0.834  0.834  0.417

***

No. 20
Material: Rb2NaNpS4
Method: DFT, PBE-GGA
State: optimized geometry

As for the energy relative to the elements, uncorrected: -1.2134 eV/atom. The value obtained for the uncorrected energy is -0.195 Ha/atom. Its spin magnetization is 0.25 μB per atom. The calculation puts the volume at 28.244 A^3/atom.

a = 7.213 Å, b = 4.143 Å, c = 7.926 Å
α = 90.00°, β = 107.46°, γ = 90.00°
Positions (direct):
Rb  0.000  0.000  0.000
Rb  0.500  0.500  0.000
Na  0.000  0.500  0.500
Np  0.500  0.000  0.500
S  0.272  0.000  0.689
S  0.295  0.500  0.311
S  0.705  0.500  0.689
S  0.728  0.000  0.311